No. 1
# PrThCd | Alexandria via LeMat-Bulk | GGA-PBE | relaxed
data_PrThCd
_cell_length_a 3.650
_cell_length_b 17.935
_cell_length_c 5.648
_cell_angle_alpha 90.00
_cell_angle_beta 90.00
_cell_angle_gamma 90.00
_space_group_name_H-M_alt 'C m c m'
_space_group_IT_number 63
_space_group_name_Hall '-C 2c 2'
loop_
_atom_site_label
_atom_site_type_symbol
_atom_site_fract_x
_atom_site_fract_y
_atom_site_fract_z
_atom_site_occupancy
Pr1 Pr 0.000 0.091 0.250 1
Th1 Th 0.000 0.226 0.750 1
Cd1 Cd 0.000 0.437 0.250 1
# - V: 30.8 Å³ per atom
# - Electronic total energy: -4.4990 eV per atom
# - ΔH_f (0 K): -0.4 eV/f.u.
# - Fermi-level density of states: 1.19 states/eV/atom

=====

No. 2
# Pr3ThCd2 | Alexandria via LeMat-Bulk | GGA-PBE | relaxed
data_Pr3ThCd2
_cell_length_a 3.712
_cell_length_b 3.712
_cell_length_c 13.306
_cell_angle_alpha 90.00
_cell_angle_beta 90.00
_cell_angle_gamma 90.00
_space_group_name_H-M_alt 'P 4/m m m'
_space_group_IT_number 123
_space_group_name_Hall '-P 4 2'
loop_
_atom_site_label
_atom_site_type_symbol
_atom_site_fract_x
_atom_site_fract_y
_atom_site_fract_z
_atom_site_occupancy
Pr1 Pr 0.000 0.000 0.000 1
Pr2 Pr 0.000 0.000 0.319 1
Th1 Th 0.500 0.500 0.500 1
Cd1 Cd 0.500 0.500 0.159 1
# - V: 30.6 Å³ per atom
# - Electronic total energy: -4.1337 eV per atom
# - ΔH_f (0 K): -1.2 eV/f.u.
# - Fermi-level density of states: 1.02 states/eV/atom

=====

No. 3
# Pr2ThCd | Alexandria via LeMat-Bulk | GGA-PBE | relaxed
data_Pr2ThCd
_cell_length_a 3.5805
_cell_length_b 3.5805
_cell_length_c 37.2296
_cell_angle_alpha 90.00
_cell_angle_beta 90.00
_cell_angle_gamma 120.00
_space_group_name_H-M_alt 'R -3 m'
_space_group_IT_number 166
_space_group_name_Hall '-R 3 2"'
loop_
_atom_site_label
_atom_site_type_symbol
_atom_site_fract_x
_atom_site_fract_y
_atom_site_fract_z
_atom_site_occupancy
Pr1 Pr 0.0000 0.0000 0.0894 1
Th1 Th 0.0000 0.0000 0.5000 1
Cd1 Cd 0.0000 0.0000 0.0000 1
# - V: 34.4 Å³ per atom
# - Electronic total energy: -4.3222 eV per atom
# - ΔH_f (0 K): 0.6 eV/f.u.
# - Fermi-level density of states: 1.28 states/eV/atom